{
  "formula": "Ho5GaBi4",
  "functional": "GGA-PBE",
  "state": "optimized geometry",
  "lattice_angstrom": [[-4.9257, 4.9257, 3.1169], [4.9257, -4.9257, 3.1169], [4.9257, 4.9257, -3.1169]],
  "species": ["Ho", "Ho", "Ho", "Ho", "Ho", "Ga", "Bi", "Bi", "Bi", "Bi"],
  "fractional_positions": [[0.0000, 0.0000, 0.0000], [0.2111, 0.4006, 0.6101], [0.4006, 0.7905, 0.1894], [0.6011, 0.2111, 0.8106], [0.7905, 0.6011, 0.3899], [0.5000, 0.5000, 0.0000], [0.0951, 0.6983, 0.7918], [0.3033, 0.0951, 0.3968], [0.6983, 0.9065, 0.6032], [0.9065, 0.3033, 0.2082]],
  "sg": "No. 79",
  "crystal_system": "tetragonal",
  "formation_enthalpy_0k_mev_per_atom": -682,
  "dos_at_fermi_per_ev_fu": 6.655
}


{
  "formula": "LiNi5Ir",
  "functional": "GGA-PBE",
  "state": "optimized geometry",
  "lattice_angstrom": [[2.9470, -3.4255, 0.0000], [2.9470, 3.4255, 0.0000], [-2.7254, 0.0000, 8.1519]],
  "species": ["Li", "Li", "Ni", "Ni", "Ni", "Ni", "Ni", "Ni", "Ni", "Ni", "Ni", "Ni", "Ir", "Ir"],
  "fractional_positions": [[0.0000, 0.5000, 0.0000], [0.5000, 0.0000, 0.5000], [0.0842, 0.2802, 0.5430], [0.1462, 0.8538, 0.2500], [0.2802, 0.0842, 0.0430], [0.3536, 0.4255, 0.3447], [0.4255, 0.3536, 0.8447], [0.5745, 0.6464, 0.1553], [0.6464, 0.5745, 0.6553], [0.7198, 0.9158, 0.9570], [0.8538, 0.1462, 0.7500], [0.9158, 0.7198, 0.4570], [0.2137, 0.7863, 0.7500], [0.7863, 0.2137, 0.2500]],
  "sg": "No. 15",
  "crystal_system": "monoclinic",
  "formation_enthalpy_0k_mev_per_atom": 80,
  "dos_at_fermi_per_ev_fu": 10.842
}